# NaGeP2S8 PBE-GGA optimized geometry
# * uncorrected formation energy: -0.174 eV/atom
data_NaGeP2S8
_chemical_formula_sum 'Na1 Ge1 P2 S8'
_cell_length_a 5.9217
_cell_length_b 5.9217
_cell_length_c 8.8192
_cell_angle_alpha 90.00
_cell_angle_beta 90.00
_cell_angle_gamma 120.00
_space_group_name_H-M_alt 'P -3'
_space_group_IT_number 147
loop_
_space_group_symop_operation_xyz
'x,y,z'
'-x,-y,-z'
'-y,x-y,z'
'y,-x+y,-z'
'-x+y,-x,z'
'x-y,x,-z'
loop_
_atom_site_label
_atom_site_fract_x
_atom_site_fract_y
_atom_site_fract_z
_atom_site_occupancy
Na1 0.0000 0.0000 0.0000 1
Ge1 0.0000 0.0000 0.5000 1
P1 0.3333 0.6667 0.7336 1
S1 0.0011 0.6769 0.3244 1
S2 0.3333 0.6667 0.9625 1

# NaGeP2S PBE-GGA optimized geometry
# * energy above the most stable polymorph in this dataset: 0 meV per atom
# * uncorrected formation energy: 0.458 eV/atom
data_NaGeP2S
_chemical_formula_sum 'Na1 Ge1 P2 S1'
_cell_length_a 4.7788
_cell_length_b 4.7788
_cell_length_c 4.9683
_cell_angle_alpha 90.00
_cell_angle_beta 90.00
_cell_angle_gamma 90.00
_space_group_name_H-M_alt 'P 4/m m m'
_space_group_IT_number 123
_space_group_name_Hall '-P 4 2'
loop_
_atom_site_label
_atom_site_fract_x
_atom_site_fract_y
_atom_site_fract_z
_atom_site_occupancy
Na1 0.0000 0.0000 0.0000 1
Ge1 0.5000 0.5000 0.5000 1
P1 0.0000 0.5000 0.5000 1
S1 0.5000 0.5000 0.0000 1

# Na2GePS4 PBE-GGA optimized geometry
# * uncorrected formation energy: -0.507 eV/atom
data_Na2GePS4
_chemical_formula_sum 'Na4 Ge2 P2 S8'
_cell_length_a 8.7898
_cell_length_b 6.7577
_cell_length_c 7.0246
_cell_angle_alpha 90.00
_cell_angle_beta 90.00
_cell_angle_gamma 90.00
_space_group_name_H-M_alt 'P m n 21'
_space_group_IT_number 31
loop_
_space_group_symop_operation_xyz
'x,y,z'
'-x+1/2,-y,z+1/2'
'-x,y,z'
'x+1/2,-y,z+1/2'
loop_
_atom_site_label
_atom_site_fract_x
_atom_site_fract_y
_atom_site_fract_z
_atom_site_occupancy
Na1 0.2484 0.2110 0.0000 1
Ge1 0.0000 0.6957 0.0496 1
P1 0.0000 0.3481 0.5409 1
S1 0.0000 0.3880 0.1672 1
S2 0.0000 0.6162 0.6807 1
S3 0.1994 0.1940 0.5993 1

# NaGePS2 PBE-GGA optimized geometry
# * energy above the most stable polymorph in this dataset: 0 meV per atom
# * uncorrected formation energy: 0.201 eV/atom
data_NaGePS2
_chemical_formula_sum 'Na1 Ge1 P1 S2'
_cell_length_a 4.9152
_cell_length_b 4.9152
_cell_length_c 4.6908
_cell_angle_alpha 90.00
_cell_angle_beta 90.00
_cell_angle_gamma 90.00
_space_group_name_H-M_alt 'P 4/m m m'
_space_group_IT_number 123
_space_group_name_Hall '-P 4 2'
loop_
_atom_site_label
_atom_site_fract_x
_atom_site_fract_y
_atom_site_fract_z
_atom_site_occupancy
Na1 0.0000 0.0000 0.0000 1
Ge1 0.5000 0.5000 0.5000 1
P1 0.5000 0.5000 0.0000 1
S1 0.0000 0.5000 0.5000 1